La3As2O | GGA-PBE | relaxed

Volume (Å³ per atom): 26.25
E above lowest polymorph (meV/atom): 0
Energy relative to the elements, uncorrected (kJ/mol of atoms): -191
Magnetic moment (μB per cell): 0.0

abc: 8.682 4.273 16.985
angles: 90.00 90.00 90.00
Space group Pnma (No. 62)
Symmetry-distinct sites (fractional):
La 0.003 0.250 0.104 x4
La 0.138 0.250 0.573 x4
La 0.170 0.750 0.274 x4
As 0.092 0.750 0.715 x4
As 0.243 0.250 0.961 x4
O 0.122 0.750 0.137 x4